Entry from Alexandria via LeMat-Bulk: an optimized crystal structure of Tb5Mo2O12 (GGA+U).

Properties
crystal system	monoclinic
total moment	3.0	μB per cell
space-group type	C2/m (12)
E_tot	-8.05	eV/atom

abc: 6.912 6.912 7.370
angles: 74.50 74.50 51.84
Site moments in Bohr magnetons follow the coordinates.
Sites, in units of the cell vectors:
1 Tb 0.301 0.301 0.362  0.00
2 Tb 0.699 0.699 0.638  0.00
3 Tb 0.308 0.308 0.827  0.00
4 Tb 0.692 0.692 0.173  0.00
5 Tb 0.000 0.000 0.500  0.03
6 Mo 0.755 0.245 0.000  1.47
7 Mo 0.245 0.755 0.000  1.47
8 O 0.897 0.434 0.915  -0.01
9 O 0.434 0.897 0.915  -0.01
10 O 0.103 0.566 0.085  -0.01
11 O 0.566 0.103 0.085  -0.01
12 O 0.096 0.597 0.574  0.00
13 O 0.597 0.096 0.574  0.00
14 O 0.904 0.403 0.426  0.00
15 O 0.403 0.904 0.426  0.00
16 O 0.000 0.000 0.814  0.01
17 O 0.000 0.000 0.186  0.01
18 O 0.499 0.499 0.810  0.02
19 O 0.501 0.501 0.190  0.02